The following is a DFT calculation (GGA-PBE) of crystalline Li2LaPmAu2 at its relaxed geometry.

a = 4.6767 Å, b = 4.6767 Å, c = 7.2227 Å
α = 90.00°, β = 90.00°, γ = 120.00°
Space group P-3m1 (No. 164)
Symmetry-distinct sites (fractional):
Li1 0.3333 0.6667 0.2682 [2 per cell]
La1 0.0000 0.0000 0.0000 [1 per cell]
Pm1 0.0000 0.0000 0.5000 [1 per cell]
Au1 0.3333 0.6667 0.7381 [2 per cell]

Results
- Crystal system: trigonal
- DOS at the Fermi energy: 6.4 states/eV/cell
- Uncorrected energy: -23.28 eV/cell
- Energy relative to the elements: -0.536 eV per atom

The following is a DFT calculation (GGA-PBE) of crystalline Ac4Tb5Pr2 at its relaxed geometry.

a = 25.019 Å, b = 3.603 Å, c = 9.262 Å
α = 90.00°, β = 93.39°, γ = 90.00°
Space group C2/m (No. 12)
Symmetry-distinct sites (fractional):
Ac1 0.086 0.000 0.231 [4 per cell]
Ac2 0.220 0.500 0.323 [4 per cell]
Tb1 0.000 0.500 0.500 [2 per cell]
Tb2 0.135 0.000 0.594 [4 per cell]
Tb3 0.187 0.000 0.967 [4 per cell]
Pr1 0.050 0.000 0.845 [4 per cell]

Results
- Crystal system: monoclinic
- DOS at the Fermi energy: 42.6 states/eV/cell
- Uncorrected energy: -93.05 eV/cell
- Energy relative to the elements: 0.238 eV per atom

The following is a DFT calculation (GGA-PBE) of crystalline Al8SiTc2 at its relaxed geometry.

a = 11.878 Å, b = 7.543 Å, c = 4.928 Å
α = 90.00°, β = 113.64°, γ = 90.00°
Space group C2/m (No. 12)
Symmetry-distinct sites (fractional):
Al1 0.096 0.000 0.433 [4 per cell]
Al2 0.113 0.193 0.941 [8 per cell]
Al3 0.179 0.500 0.566 [4 per cell]
Si1 0.000 0.500 0.000 [2 per cell]
Tc1 0.204 0.500 0.085 [4 per cell]

Results
- Crystal system: monoclinic
- Formation energy without anion corrections: -6.4 kJ/mol of atoms
- DOS at the Fermi energy: 6.1 states/eV/cell
- Uncorrected energy: -113.65 eV/cell

Question: Which of these has the highest DOS at the Fermi energy?
Answer: Ac4Tb5Pr2

Question: Among the records above, which one has the highest DOS at the Fermi energy?
Answer: Ac4Tb5Pr2

Question: DOS at the Fermi energy of number 2 (Ac4Tb5Pr2)?
Answer: 42.6 states/eV/cell

Question: Which value of uncorrected energy does entry 1 give?
Answer: -23.28 eV/cell